Here is CoRuO after structural relaxation from the Alexandria database. Energies are from PBE+U.

Output
total magnetic moment	10.1	μB per cell
uncorrected energy	-6.543	eV/atom
calculated density	8.2	Mg/m³
crystal system	monoclinic

abc: 10.325 2.712 5.108
angles: 90.00 90.80 90.00
Space group Cm (No. 8)
Symmetry-distinct sites (fractional):
1 Co 0.000 0.000 0.000 (multiplicity 2)
2 Co 0.134 0.000 0.389 (multiplicity 2)
3 Ru 0.247 0.500 0.005 (multiplicity 2)
4 Ru 0.389 0.000 0.387 (multiplicity 2)
5 O 0.148 0.000 0.774 (multiplicity 2)
6 O 0.382 0.500 0.682 (multiplicity 2)